Entry 1:
Here is a relaxed structure of Rb2TiBeAu from Alexandria via LeMat-Bulk. Energies are from GGA-PBE.

Structure (CIF):
```
data_Rb2TiBeAu
_space_group_name_H-M_alt 'P 4/m m m'
_space_group_IT_number 123
_space_group_name_Hall '-P 4 2'
_cell_length_a 6.901
_cell_length_b 6.901
_cell_length_c 5.074
_cell_angle_alpha 90.00
_cell_angle_beta 90.00
_cell_angle_gamma 90.00
loop_
_atom_site_label
_atom_site_fract_x
_atom_site_fract_y
_atom_site_fract_z
Rb1 0.000 0.500 0.000
Ti1 0.000 0.000 0.000
Be1 0.500 0.500 0.500
Au1 0.000 0.000 0.500
```

---

Entry 2:
Here is a relaxed structure of RbYBeAu2 from Alexandria via LeMat-Bulk. Energies are from GGA-PBE.

Structure (CIF):
```
data_RbYBeAu2
_space_group_name_H-M_alt 'P 4/m m m'
_space_group_IT_number 123
_space_group_name_Hall '-P 4 2'
_cell_length_a 5.557
_cell_length_b 5.557
_cell_length_c 4.925
_cell_angle_alpha 90.00
_cell_angle_beta 90.00
_cell_angle_gamma 90.00
loop_
_atom_site_label
_atom_site_fract_x
_atom_site_fract_y
_atom_site_fract_z
Rb1 0.000 0.000 0.000
Y1 0.500 0.500 0.500
Be1 0.000 0.000 0.500
Au1 0.000 0.500 0.000
```

---

Number 1: formation enthalpy at 0 K 1.16 eV per atom. Number 2: formation enthalpy at 0 K 1.18 eV per atom.